# 1
! LiDy2Os | the Alexandria database | PBE | optimized geometry; values from VASP
&SYSTEM
  ibrav = 0, nat = 4, ntyp = 3
/
ATOMIC_SPECIES
Dy 162.50 Dy.upf
Os 190.23 Os.upf
Li 6.94 Li.upf
CELL_PARAMETERS angstrom
-1.029 -2.117 2.470
3.249 -0.538 0.892
-0.390 6.239 5.186
ATOMIC_POSITIONS angstrom
Dy -0.079 1.272 1.057
Os 1.110 -1.328 1.681
Li 0.915 1.792 4.274
Dy -0.310 4.967 4.129
! offset from the most stable computed form: 0.078 eV/atom

# 2
Sr6TlIn: optimized geometry, PBE. Values from VASP.

Structure (Quantum ESPRESSO input):
```
&SYSTEM
  ibrav = 0, nat = 8, ntyp = 3
/
ATOMIC_SPECIES
In 114.82 In.upf
Sr 87.62 Sr.upf
Tl 204.38 Tl.upf
CELL_PARAMETERS angstrom
-4.429 1.662 3.499
-3.522 -3.939 -2.587
-1.167 -8.180 7.355
ATOMIC_POSITIONS angstrom
In 0.000 0.000 0.000
Sr -6.550 -5.789 4.353
Sr -5.201 -4.450 0.477
Sr -3.463 -8.808 4.748
Sr -3.916 -6.007 7.790
Tl -3.975 -1.139 0.456
Sr -5.654 -1.649 3.520
Sr -2.568 -4.668 3.914
```

# 3
! Pm2HoPb2 | the Alexandria database | PBE | optimized geometry; values from VASP
&SYSTEM
  ibrav = 0, nat = 5, ntyp = 3
/
ATOMIC_SPECIES
Pm 145.00 Pm.upf
Pb 207.20 Pb.upf
Ho 164.93 Ho.upf
CELL_PARAMETERS angstrom
4.662 0.000 0.000
2.331 5.219 0.069
2.331 0.403 6.143
ATOMIC_POSITIONS angstrom
Pm 6.993 4.236 3.809
Pm 2.331 1.386 2.403
Pb 4.662 2.207 4.866
Pb 4.662 3.414 1.346
Ho 0.000 0.000 0.000
! offset from the most stable computed form: 0.109 eV/atom

What did we get for total moment? Answer: 0.000 0.000 0.000 μB per atom, in the order shown.
What did we get for E_form? Answer: -0.16 -0.22 -0.41 eV/atom, in the order shown.